(i)
{
  "formula": "InTeIr2",
  "functional": "PBE",
  "state": "optimized geometry",
  "cell": [[3.1183, 0.0000, 0.0000], [0.0000, 3.1183, 0.0000], [0.0000, 0.0000, 8.3175]],
  "species": ["In", "Te", "Ir", "Ir"],
  "frac_coords": [[0.0000, 0.0000, 0.0000], [0.5000, 0.5000, 0.6211], [0.0000, 0.0000, 0.4320], [0.5000, 0.5000, 0.2122]],
  "mass_density_g_cm3": 12.9,
  "space_group": "No. 99"
}

(ii)
{
  "formula": "InTeIr2",
  "functional": "PBE",
  "state": "optimized geometry",
  "cell": [[-1.5475, 2.1319, 5.9833], [1.5475, -2.1319, 5.9833], [1.5475, 2.1319, -5.9833]],
  "species": ["In", "Te", "Ir", "Ir"],
  "frac_coords": [[0.0000, 0.0000, 0.0000], [0.7437, 0.2437, 0.5000], [0.3493, 0.8493, 0.5000], [0.5562, 0.5562, 0.0000]],
  "mass_density_g_cm3": 13.2,
  "space_group": "No. 44"
}

(iii)
{
  "formula": "InTeIr2",
  "functional": "PBE",
  "state": "optimized geometry",
  "cell": [[-2.9416, 2.9416, 6.1289], [2.9416, -2.9416, 6.1289], [2.9416, 2.9416, -6.1289]],
  "species": ["In", "In", "Te", "Te", "Ir", "Ir", "Ir", "Ir"],
  "frac_coords": [[0.0000, 0.0000, 0.0000], [0.7500, 0.2500, 0.5000], [0.2500, 0.7500, 0.5000], [0.5000, 0.5000, 0.0000], [0.1442, 0.6250, 0.0192], [0.3750, 0.3942, 0.5192], [0.6058, 0.1250, 0.9808], [0.8750, 0.8558, 0.4808]],
  "mass_density_g_cm3": 9.8,
  "space_group": "No. 122"
}

(iv)
{
  "formula": "InTeIr2",
  "functional": "PBE",
  "state": "optimized geometry",
  "cell": [[3.1360, 0.0000, 0.0000], [0.0000, 3.1360, 0.0000], [0.0000, 0.0000, 7.3819]],
  "species": ["In", "Te", "Ir", "Ir"],
  "frac_coords": [[0.0000, 0.0000, 0.0000], [0.0000, 0.0000, 0.5000], [0.5000, 0.5000, 0.2485], [0.5000, 0.5000, 0.7515]],
  "mass_density_g_cm3": 14.3,
  "space_group": "No. 123"
}

How far above the most stable structure does each one sit? In eV/atom: (i) 0.047; (ii) 0.000; (iii) 0.264; (iv) 0.019.

(i)
{
  "formula": "InTeIr2",
  "functional": "PBE",
  "state": "optimized geometry",
  "cell": [[-1.9709, 1.9709, 4.7311], [1.9709, -1.9709, 4.7311], [1.9709, 1.9709, -4.7311]],
  "species": ["In", "Te", "Ir", "Ir"],
  "frac_coords": [[0.0000, 0.0000, 0.0000], [0.7500, 0.2500, 0.5000], [0.2500, 0.7500, 0.5000], [0.5000, 0.5000, 0.0000]],
  "mass_density_g_cm3": 14.2,
  "space_group": "No. 119"
}

(ii)
{
  "formula": "InTeIr2",
  "functional": "PBE",
  "state": "optimized geometry",
  "cell": [[1.5359, -2.6303, 0.0000], [1.5359, 2.6303, 0.0000], [0.0000, 0.0000, 9.2576]],
  "species": ["In", "Te", "Ir", "Ir"],
  "frac_coords": [[0.0000, 0.0000, 0.0000], [0.0000, 0.0000, 0.5000], [0.5000, 0.5000, 0.2414], [0.5000, 0.5000, 0.7586]],
  "mass_density_g_cm3": 13.9,
  "space_group": "No. 65"
}

(iii)
{
  "formula": "InTeIr2",
  "functional": "PBE",
  "state": "optimized geometry",
  "cell": [[3.7168, 0.0000, 0.0000], [0.0000, 3.7168, 0.0000], [0.0000, 0.0000, 5.4992]],
  "species": ["In", "Te", "Ir", "Ir"],
  "frac_coords": [[0.0000, 0.0000, 0.0000], [0.5000, 0.5000, 0.6302], [0.0000, 0.0000, 0.4960], [0.5000, 0.5000, 0.1492]],
  "mass_density_g_cm3": 13.7,
  "space_group": "No. 99"
}

(iv)
{
  "formula": "InTeIr2",
  "functional": "PBE",
  "state": "optimized geometry",
  "cell": [[4.3075, -1.6146, 0.0000], [4.3075, 1.6146, 0.0000], [-1.2221, 0.0000, 5.3349]],
  "species": ["In", "Te", "Ir", "Ir"],
  "frac_coords": [[0.0000, 0.0000, 0.0000], [0.5000, 0.5000, 0.5000], [0.2505, 0.2505, 0.7385], [0.7495, 0.7495, 0.2615]],
  "mass_density_g_cm3": 14.0,
  "space_group": "No. 12"
}

How far above the most stable structure does each one sit? In eV/atom: (i) 0.195; (ii) 0.309; (iii) 0.000; (iv) 0.094.

(i)
{
  "formula": "InTeIr2",
  "functional": "PBE",
  "state": "optimized geometry",
  "cell": [[1.5802, 0.9123, 8.5430], [-1.5802, 0.9123, 8.5430], [0.0000, -1.8246, 8.5430]],
  "species": ["In", "Te", "Ir", "Ir"],
  "frac_coords": [[0.0000, 0.0000, 0.0000], [0.5000, 0.5000, 0.5000], [0.2496, 0.2496, 0.2496], [0.7504, 0.7504, 0.7504]],
  "mass_density_g_cm3": 14.1,
  "space_group": "No. 166"
}

(ii)
{
  "formula": "InTeIr2",
  "functional": "PBE",
  "state": "optimized geometry",
  "cell": [[0.0000, 3.3479, 3.3479], [3.3479, 0.0000, 3.3479], [3.3479, 3.3479, 0.0000]],
  "species": ["In", "Te", "Ir", "Ir"],
  "frac_coords": [[0.0000, 0.0000, 0.0000], [0.7500, 0.7500, 0.7500], [0.2500, 0.2500, 0.2500], [0.5000, 0.5000, 0.5000]],
  "mass_density_g_cm3": 13.9,
  "space_group": "No. 216"
}

How far above the most stable structure does each one sit? In eV/atom: (i) 0.000; (ii) 0.378.

(i)
{
  "formula": "InTeIr2",
  "functional": "PBE",
  "state": "optimized geometry",
  "cell": [[3.1083, -3.7246, 0.0000], [3.1083, 3.7246, 0.0000], [0.0000, 0.0000, 3.1348]],
  "species": ["In", "Te", "Ir", "Ir"],
  "frac_coords": [[0.0000, 0.0000, 0.0000], [0.5000, 0.5000, 0.0000], [0.0000, 0.5000, 0.5000], [0.5000, 0.0000, 0.5000]],
  "mass_density_g_cm3": 14.3,
  "space_group": "No. 65"
}

(ii)
{
  "formula": "InTeIr2",
  "functional": "PBE",
  "state": "optimized geometry",
  "cell": [[3.2174, 0.0000, 0.0000], [0.0000, 5.0072, 0.0000], [0.0000, 0.0000, 4.6383]],
  "species": ["In", "Te", "Ir", "Ir"],
  "frac_coords": [[0.0000, 0.0000, 0.0000], [0.5000, 0.5000, 0.2808], [0.0000, 0.5000, 0.7418], [0.5000, 0.0000, 0.5044]],
  "mass_density_g_cm3": 13.9,
  "space_group": "No. 25"
}

How far above the most stable structure does each one sit? In eV/atom: (i) 0.052; (ii) 0.000.

(i)
{
  "formula": "InTeIr",
  "functional": "PBE",
  "state": "optimized geometry",
  "cell": [[3.8322, 0.0000, 0.0000], [-1.9161, 3.3188, 0.0000], [0.0000, 0.0000, 5.6993]],
  "species": ["In", "Te", "Ir"],
  "frac_coords": [[0.0000, 0.0000, 0.0000], [0.3333, 0.6667, 0.5388], [0.6667, 0.3333, 0.2960]],
  "mass_density_g_cm3": 10.0,
  "space_group": "No. 156"
}

(ii)
{
  "formula": "InTeIr",
  "functional": "PBE",
  "state": "optimized geometry",
  "cell": [[4.7351, 0.0000, 0.0000], [-2.3676, 4.1008, 0.0000], [0.0000, 0.0000, 3.2426]],
  "species": ["In", "Te", "Ir"],
  "frac_coords": [[0.0000, 0.0000, 0.0000], [0.3333, 0.6667, 0.5000], [0.6667, 0.3333, 0.5000]],
  "mass_density_g_cm3": 11.5,
  "space_group": "No. 187"
}

(iii)
{
  "formula": "InTeIr",
  "functional": "PBE",
  "state": "optimized geometry",
  "cell": [[3.1024, 0.0000, 0.0000], [0.0243, 6.5755, 0.0000], [0.0274, 0.5659, 6.6762]],
  "species": ["In", "In", "Te", "Te", "Ir", "Ir"],
  "frac_coords": [[0.0000, 0.0000, 0.0000], [0.5001, 0.3097, 0.6839], [0.0018, 0.8178, 0.5068], [0.4993, 0.5011, 0.1816], [0.0001, 0.2017, 0.3561], [0.0003, 0.6055, 0.8612]],
  "mass_density_g_cm3": 10.6,
  "space_group": "No. 1"
}

(iv)
{
  "formula": "InTeIr",
  "functional": "PBE",
  "state": "optimized geometry",
  "cell": [[-1.5257, 1.7821, 6.2355], [1.5257, -1.7821, 6.2355], [1.5257, 1.7821, -6.2355]],
  "species": ["In", "Te", "Ir"],
  "frac_coords": [[0.0000, 0.0000, 0.0000], [0.7328, 0.7328, 0.0000], [0.3488, 0.3488, 0.0000]],
  "mass_density_g_cm3": 10.6,
  "space_group": "No. 44"
}

How far above the most stable structure does each one sit? In eV/atom: (i) 0.000; (ii) 0.265; (iii) 0.055; (iv) 0.147.

(i)
{
  "formula": "Ti3InIr",
  "functional": "PBE",
  "state": "optimized geometry",
  "cell": [[4.7866, -2.0590, 0.0000], [4.7866, 2.0590, 0.0000], [-1.6090, 0.0000, 9.2574]],
  "species": ["Ti", "Ti", "Ti", "Ti", "Ti", "Ti", "In", "In", "Ir", "Ir"],
  "frac_coords": [[0.0397, 0.0397, 0.3594], [0.1478, 0.1478, 0.9450], [0.3004, 0.3004, 0.2560], [0.6996, 0.6996, 0.7440], [0.8522, 0.8522, 0.0550], [0.9603, 0.9603, 0.6406], [0.4240, 0.4240, 0.8490], [0.5760, 0.5760, 0.1510], [0.2144, 0.2144, 0.5964], [0.7856, 0.7856, 0.4036]],
  "mass_density_g_cm3": 8.2,
  "space_group": "No. 12"
}

(ii)
{
  "formula": "Ti3InIr",
  "functional": "PBE",
  "state": "optimized geometry",
  "cell": [[4.7723, 0.0000, 0.0000], [0.0000, 4.7723, 0.0000], [0.0000, 0.0000, 4.7723]],
  "species": ["Ti", "Ti", "Ti", "In", "Ir"],
  "frac_coords": [[0.0000, 0.0000, 0.5000], [0.0000, 0.5000, 0.0000], [0.5000, 0.0000, 0.0000], [0.5000, 0.5000, 0.5000], [0.0000, 0.0000, 0.0000]],
  "mass_density_g_cm3": 6.9,
  "space_group": "No. 221"
}

How far above the most stable structure does each one sit? In eV/atom: (i) 0.000; (ii) 0.375.

(i)
{
  "formula": "Ti4InIr",
  "functional": "PBE",
  "state": "optimized geometry",
  "cell": [[4.2955, 0.0000, 0.0000], [0.0000, 4.2955, 0.0000], [0.0000, 0.0000, 6.6392]],
  "species": ["Ti", "Ti", "Ti", "Ti", "In", "Ir"],
  "frac_coords": [[0.0000, 0.5000, 0.2198], [0.0000, 0.5000, 0.7802], [0.5000, 0.0000, 0.2198], [0.5000, 0.0000, 0.7802], [0.0000, 0.0000, 0.5000], [0.5000, 0.5000, 0.0000]],
  "mass_density_g_cm3": 6.8,
  "space_group": "No. 123"
}

(ii)
{
  "formula": "Ti4InIr",
  "functional": "PBE",
  "state": "optimized geometry",
  "cell": [[5.1244, -1.6069, 0.0000], [5.1244, 1.6069, 0.0000], [-2.0616, 0.0000, 6.1881]],
  "species": ["Ti", "Ti", "Ti", "Ti", "In", "Ir"],
  "frac_coords": [[0.1610, 0.1610, 0.3524], [0.1701, 0.1701, 0.8153], [0.8299, 0.8299, 0.1847], [0.8390, 0.8390, 0.6476], [0.5000, 0.5000, 0.0000], [0.5000, 0.5000, 0.5000]],
  "mass_density_g_cm3": 8.1,
  "space_group": "No. 12"
}

How far above the most stable structure does each one sit? In eV/atom: (i) 0.348; (ii) 0.000.

(i)
{
  "formula": "TiIn3Ir",
  "functional": "PBE",
  "state": "optimized geometry",
  "cell": [[5.0870, 0.0000, 0.0000], [0.0000, 5.0870, 0.0000], [0.0000, 0.0000, 5.0870]],
  "species": ["Ti", "In", "In", "In", "Ir"],
  "frac_coords": [[0.0000, 0.0000, 0.0000], [0.0000, 0.5000, 0.5000], [0.5000, 0.0000, 0.5000], [0.5000, 0.5000, 0.0000], [0.5000, 0.5000, 0.5000]],
  "mass_density_g_cm3": 7.4,
  "space_group": "No. 221"
}

(ii)
{
  "formula": "TiIn3Ir",
  "functional": "PBE",
  "state": "optimized geometry",
  "cell": [[5.1560, 0.0000, 0.0000], [0.0000, 5.1560, 0.0000], [0.0000, 0.0000, 5.1560]],
  "species": ["Ti", "In", "In", "In", "Ir"],
  "frac_coords": [[0.0000, 0.0000, 0.0000], [0.0000, 0.0000, 0.5000], [0.0000, 0.5000, 0.0000], [0.5000, 0.0000, 0.0000], [0.5000, 0.5000, 0.5000]],
  "mass_density_g_cm3": 7.1,
  "space_group": "No. 221"
}

How far above the most stable structure does each one sit? In eV/atom: (i) 0.000; (ii) 0.781.

(i)
{
  "formula": "TlIn2Ir2",
  "functional": "PBE",
  "state": "optimized geometry",
  "cell": [[7.8930, 0.0000, 0.0000], [0.0000, 7.8930, 0.0000], [0.0000, 0.0000, 3.1351]],
  "species": ["Tl", "Tl", "In", "In", "In", "In", "Ir", "Ir", "Ir", "Ir"],
  "frac_coords": [[0.0000, 0.0000, 0.0000], [0.5000, 0.5000, 0.0000], [0.1455, 0.3545, 0.5000], [0.3545, 0.8545, 0.5000], [0.6455, 0.1455, 0.5000], [0.8545, 0.6455, 0.5000], [0.1508, 0.6508, 0.0000], [0.3492, 0.1508, 0.0000], [0.6508, 0.8492, 0.0000], [0.8492, 0.3492, 0.0000]],
  "mass_density_g_cm3": 13.9,
  "space_group": "No. 127"
}

(ii)
{
  "formula": "TlIn2Ir2",
  "functional": "PBE",
  "state": "optimized geometry",
  "cell": [[-2.1524, 2.1524, 5.8859], [2.1524, -2.1524, 5.8859], [2.1524, 2.1524, -5.8859]],
  "species": ["Tl", "In", "In", "Ir", "Ir"],
  "frac_coords": [[0.0000, 0.0000, 0.0000], [0.2500, 0.7500, 0.5000], [0.7500, 0.2500, 0.5000], [0.3930, 0.3930, 0.0000], [0.6070, 0.6070, 0.0000]],
  "mass_density_g_cm3": 12.5,
  "space_group": "No. 139"
}

How far above the most stable structure does each one sit? In eV/atom: (i) 0.000; (ii) 0.156.

(i)
{
  "formula": "Tl2InIr2",
  "functional": "PBE",
  "state": "optimized geometry",
  "cell": [[-2.1445, 2.1445, 6.0904], [2.1445, -2.1445, 6.0904], [2.1445, 2.1445, -6.0904]],
  "species": ["Tl", "Tl", "In", "Ir", "Ir"],
  "frac_coords": [[0.2500, 0.7500, 0.5000], [0.7500, 0.2500, 0.5000], [0.0000, 0.0000, 0.0000], [0.3988, 0.3988, 0.0000], [0.6012, 0.6012, 0.0000]],
  "mass_density_g_cm3": 13.5,
  "space_group": "No. 139"
}

(ii)
{
  "formula": "Tl2InIr2",
  "functional": "PBE",
  "state": "optimized geometry",
  "cell": [[7.0921, 0.0000, 0.0000], [0.0000, 7.0921, 0.0000], [0.0000, 0.0000, 4.0474]],
  "species": ["Tl", "Tl", "Tl", "Tl", "In", "In", "Ir", "Ir", "Ir", "Ir"],
  "frac_coords": [[0.1624, 0.3376, 0.0000], [0.3376, 0.8376, 0.0000], [0.6624, 0.1624, 0.0000], [0.8376, 0.6624, 0.0000], [0.0000, 0.0000, 0.5000], [0.5000, 0.5000, 0.5000], [0.1389, 0.6389, 0.5000], [0.3611, 0.1389, 0.5000], [0.6389, 0.8611, 0.5000], [0.8611, 0.3611, 0.5000]],
  "mass_density_g_cm3": 14.8,
  "space_group": "No. 127"
}

(iii)
{
  "formula": "Tl2InIr2",
  "functional": "PBE",
  "state": "optimized geometry",
  "cell": [[-1.8327, 1.8327, 9.1160], [1.8327, -1.8327, 9.1160], [1.8327, 1.8327, -9.1160]],
  "species": ["Tl", "Tl", "In", "Ir", "Ir"],
  "frac_coords": [[0.1233, 0.1233, 0.0000], [0.8767, 0.8767, 0.0000], [0.5000, 0.5000, 0.0000], [0.2500, 0.7500, 0.5000], [0.7500, 0.2500, 0.5000]],
  "mass_density_g_cm3": 12.3,
  "space_group": "No. 139"
}

How far above the most stable structure does each one sit? In eV/atom: (i) 0.229; (ii) 0.000; (iii) 0.148.